Entry from Alexandria: ScAg2Hg after structural relaxation (PBE).

space group = R-3m (166)
mass density = 9.2 Mg/m³
DFT formation energy = -15.8 meV per atom
magnetic moment = 0.00 μB per formula unit
crystal system = trigonal

a b c (Å): 3.1755 3.1755 28.6689
angles (deg): 90.00 90.00 120.00
With the nearest neighbours (Å) after each atom.
Fractional coordinates of all 12 atoms:
Sc 0.0000 0.0000 0.0000  6 Ag 2.95, 6 Sc 3.18
Sc 0.3333 0.6667 0.6667  6 Ag 2.95, 6 Sc 3.18
Sc 0.6667 0.3333 0.3333  6 Ag 2.95, 6 Sc 3.18
Ag 0.0000 0.0000 0.2527  3 Sc 2.95, 3 Hg 3.07, 6 Ag 3.18
Ag 0.0000 0.0000 0.7473  3 Sc 2.95, 3 Hg 3.07, 6 Ag 3.18
Ag 0.3333 0.6667 0.4139  3 Sc 2.95, 3 Hg 3.07, 6 Ag 3.18
Ag 0.3333 0.6667 0.9194  3 Sc 2.95, 3 Hg 3.07, 6 Ag 3.18
Ag 0.6667 0.3333 0.0806  3 Sc 2.95, 3 Hg 3.07, 6 Ag 3.18
Ag 0.6667 0.3333 0.5861  3 Sc 2.95, 3 Hg 3.07, 6 Ag 3.18
Hg 0.0000 0.0000 0.5000  6 Ag 3.07, 6 Hg 3.18
Hg 0.3333 0.6667 0.1667  6 Ag 3.07, 6 Hg 3.18
Hg 0.6667 0.3333 0.8333  6 Ag 3.07, 6 Hg 3.18